# 1
Computed, not measured: crystalline PrSm8Er3 at its relaxed geometry at the GGA-PBE level of DFT.

Values from the calculation:
E_form ... 343 meV/atom
Energy ... -52.1 eV/cell
DOS at the Fermi energy ... 1.384 states/eV/atom

a b c (Å): 8.736 8.736 8.736
angles (deg): 135.89 98.92 97.29
Fractional positions:
1 Pr 0.000 0.000 0.000
2 Sm 0.085 0.252 0.834
3 Sm 0.261 0.241 0.504
4 Sm 0.263 0.759 0.021
5 Sm 0.417 0.251 0.166
6 Sm 0.583 0.748 0.834
7 Sm 0.737 0.758 0.496
8 Sm 0.739 0.242 0.979
9 Sm 0.915 0.749 0.166
10 Er 0.264 0.764 0.500
11 Er 0.500 0.500 0.000
12 Er 0.736 0.236 0.500

=====

# 2
Computed, not measured: crystalline Y2Er2Mg5Sc at its relaxed geometry at the GGA-PBE level of DFT.

Values from the calculation:
E_form ... 103 meV/atom
Energy ... -70.6 eV/cell
DOS at the Fermi energy ... 0.781 states/eV/atom

a b c (Å): 10.529 10.529 4.909
angles (deg): 90.00 90.00 90.00
Fractional positions:
1 Y 0.178 0.322 0.000
2 Y 0.322 0.822 0.000
3 Y 0.678 0.178 0.000
4 Y 0.822 0.678 0.000
5 Er 0.119 0.619 0.000
6 Er 0.381 0.119 0.000
7 Er 0.619 0.881 0.000
8 Er 0.881 0.381 0.000
9 Mg 0.000 0.500 0.500
10 Mg 0.067 0.807 0.500
11 Mg 0.193 0.067 0.500
12 Mg 0.307 0.567 0.500
13 Mg 0.433 0.307 0.500
14 Mg 0.500 0.000 0.500
15 Mg 0.567 0.693 0.500
16 Mg 0.693 0.433 0.500
17 Mg 0.807 0.933 0.500
18 Mg 0.933 0.193 0.500
19 Sc 0.000 0.000 0.000
20 Sc 0.500 0.500 0.000

=====

# 3
Computed, not measured: crystalline ZnSbIr2 at its relaxed geometry at the GGA-PBE level of DFT.

Values from the calculation:
Energy ... -82.0 eV/cell
Relative energy among the computed polymorphs ... 698 meV per atom
Formation energy without anion corrections ... 0.657 eV/atom
DOS at the Fermi energy ... 0.775 states/eV/atom

a b c (Å): 5.761 5.761 11.468
angles (deg): 90.00 90.00 90.00
Fractional positions:
1 Zn 0.000 0.000 0.000
2 Zn 0.000 0.500 0.250
3 Zn 0.500 0.000 0.750
4 Zn 0.500 0.500 0.500
5 Sb 0.000 0.000 0.500
6 Sb 0.000 0.500 0.750
7 Sb 0.500 0.000 0.250
8 Sb 0.500 0.500 0.000
9 Ir 0.237 0.250 0.125
10 Ir 0.250 0.737 0.375
11 Ir 0.250 0.763 0.875
12 Ir 0.263 0.250 0.625
13 Ir 0.737 0.750 0.625
14 Ir 0.750 0.237 0.875
15 Ir 0.750 0.263 0.375
16 Ir 0.763 0.750 0.125

=====

# 4
Computed, not measured: crystalline KLi2ZrHg at its relaxed geometry at the GGA-PBE level of DFT.

Values from the calculation:
E_form ... 874 meV/atom
Energy ... -9.4 eV/cell
DOS at the Fermi energy ... 0.790 states/eV/atom

a b c (Å): 4.549 4.549 5.745
angles (deg): 90.00 90.00 90.00
Fractional positions:
1 K 0.000 0.000 0.000
2 Li 0.000 0.500 0.000
3 Li 0.500 0.000 0.000
4 Zr 0.500 0.500 0.500
5 Hg 0.000 0.000 0.500

=====

# 5
Computed, not measured: crystalline ErPu3Th4S8 at its relaxed geometry at the GGA-PBE level of DFT.

Values from the calculation:
Energy ... -139.7 eV/cell
Formation energy without anion corrections ... -1.843 eV/atom
DOS at the Fermi energy ... 1.290 states/eV/atom

a b c (Å): 8.036 8.036 8.036
angles (deg): 58.81 58.81 58.81
Fractional positions:
1 Er 0.000 0.000 0.000
2 Pu 0.000 0.500 0.500
3 Pu 0.500 0.000 0.500
4 Pu 0.500 0.500 0.000
5 Th 0.000 0.000 0.500
6 Th 0.000 0.500 0.000
7 Th 0.500 0.000 0.000
8 Th 0.500 0.500 0.500
9 S 0.244 0.244 0.748
10 S 0.244 0.748 0.244
11 S 0.252 0.756 0.756
12 S 0.254 0.254 0.254
13 S 0.746 0.746 0.746
14 S 0.748 0.244 0.244
15 S 0.756 0.252 0.756
16 S 0.756 0.756 0.252

=====

# 6
Computed, not measured: crystalline AlAs2Ir at its relaxed geometry at the GGA-PBE level of DFT.

Values from the calculation:
E_form ... -150 meV/atom
Energy ... -45.0 eV/cell
DOS at the Fermi energy ... 0.425 states/eV/atom

a b c (Å): 2.961 4.223 11.617
angles (deg): 90.00 90.00 90.00
Fractional positions:
1 Al 0.000 0.000 0.000
2 Al 0.500 0.500 0.500
3 As 0.000 0.500 0.186
4 As 0.000 0.500 0.814
5 As 0.500 0.000 0.314
6 As 0.500 0.000 0.686
7 Ir 0.000 0.000 0.500
8 Ir 0.500 0.500 0.000

=====

Please write out number 5 again, unchanged.
Computed, not measured: crystalline ErPu3Th4S8 at its relaxed geometry at the GGA-PBE level of DFT.

Values from the calculation:
Energy ... -139.7 eV/cell
Formation energy without anion corrections ... -1.843 eV/atom
DOS at the Fermi energy ... 1.290 states/eV/atom

a b c (Å): 8.036 8.036 8.036
angles (deg): 58.81 58.81 58.81
Fractional positions:
1 Er 0.000 0.000 0.000
2 Pu 0.000 0.500 0.500
3 Pu 0.500 0.000 0.500
4 Pu 0.500 0.500 0.000
5 Th 0.000 0.000 0.500
6 Th 0.000 0.500 0.000
7 Th 0.500 0.000 0.000
8 Th 0.500 0.500 0.500
9 S 0.244 0.244 0.748
10 S 0.244 0.748 0.244
11 S 0.252 0.756 0.756
12 S 0.254 0.254 0.254
13 S 0.746 0.746 0.746
14 S 0.748 0.244 0.244
15 S 0.756 0.252 0.756
16 S 0.756 0.756 0.252